(1)
The following is a DFT calculation (GGA-PBE) of a geometry-optimized Ag2Rh2S structure.

a b c (Å): 5.9706 5.9706 4.7041
angles (deg): 90.00 90.00 90.00
Space group P4/mbm (No. 127)
Asymmetric unit:
Ag 0.1610 0.3390 0.0000 [4 per cell]
Rh 0.1619 0.6619 0.5000 [4 per cell]
S 0.0000 0.0000 0.5000 [2 per cell]

Properties
* E_form (uncorrected): 0.03 eV/atom


(2)
The following is a DFT calculation (GGA-PBE) of a geometry-optimized Ho3RuBr3 structure.

a b c (Å): 8.4854 4.0845 11.8593
angles (deg): 90.00 91.67 90.00
Space group P2_1/m (No. 11)
Asymmetric unit:
Ho 0.0997 0.2500 0.3247 [2 per cell]
Ho 0.1449 0.2500 0.8635 [2 per cell]
Ho 0.2667 0.7500 0.1030 [2 per cell]
Ru 0.0514 0.2500 0.0948 [2 per cell]
Br 0.1320 0.2500 0.6002 [2 per cell]
Br 0.3385 0.7500 0.3569 [2 per cell]
Br 0.4348 0.7500 0.8703 [2 per cell]

Properties
* E_form (uncorrected): -1.25 eV/atom


(3)
The following is a DFT calculation (GGA-PBE) of a geometry-optimized ThZrIn3 structure.

a b c (Å): 4.4500 4.4500 13.8286
angles (deg): 90.00 90.00 90.00
Space group I4mm (No. 107)
Asymmetric unit:
Th 0.0000 0.0000 0.0000 [2 per cell]
Zr 0.0000 0.0000 0.6413 [2 per cell]
In 0.0000 0.0000 0.4370 [2 per cell]
In 0.0000 0.5000 0.2855 [4 per cell]

Properties
* calculated total energy: -4.835 eV per atom


(4)
The following is a DFT calculation (GGA-PBE) of a geometry-optimized Sm2Er4Ge3O2 structure.

a b c (Å): 4.5179 4.5179 23.8433
angles (deg): 90.00 90.00 90.00
Space group I4/mmm (No. 139)
Asymmetric unit:
Sm 0.0000 0.0000 0.1979 [4 per cell]
Er 0.0000 0.5000 0.0798 [8 per cell]
Ge 0.0000 0.0000 0.3274 [4 per cell]
Ge 0.0000 0.0000 0.5000 [2 per cell]
O 0.0000 0.0000 0.0917 [4 per cell]

Properties
* E_form (uncorrected): -1.59 eV/atom


(5)
The following is a DFT calculation (GGA-PBE) of a geometry-optimized MgMoRh4 structure.

a b c (Å): 9.2229 2.7697 7.7316
angles (deg): 90.00 115.22 90.00
Space group C2/m (No. 12)
Asymmetric unit:
Mg 0.0000 0.0000 0.0000 [2 per cell]
Mo 0.0000 0.0000 0.5000 [2 per cell]
Rh 0.1660 0.5000 0.8275 [4 per cell]
Rh 0.1677 0.5000 0.3416 [4 per cell]

Properties
* calculated total energy: -7.125 eV per atom


(6)
The following is a DFT calculation (GGA-PBE) of a geometry-optimized Li2Pm2PaSe6 structure.

a b c (Å): 7.2727 12.4991 6.9121
angles (deg): 90.00 110.09 90.00
Space group C2/m (No. 12)
Asymmetric unit:
Li 0.0000 0.1661 0.0000 [4 per cell]
Pm 0.0000 0.3347 0.5000 [4 per cell]
Pa 0.0000 0.0000 0.5000 [2 per cell]
Se 0.2354 0.0000 0.2481 [4 per cell]
Se 0.2418 0.1639 0.7522 [8 per cell]

Properties
* E_form (uncorrected): -1.57 eV/atom


(7)
The following is a DFT calculation (GGA-PBE) of a geometry-optimized CuAsPtO6 structure.

a b c (Å): 5.0447 5.0447 8.7661
angles (deg): 90.00 90.00 120.00
Space group P-31c (No. 163)
Asymmetric unit:
Cu 0.0000 0.0000 0.0000 [2 per cell]
As 0.3333 0.6667 0.2500 [2 per cell]
Pt 0.3333 0.6667 0.7500 [2 per cell]
O 0.0180 0.3631 0.1308 [12 per cell]

Properties
* E_form (uncorrected): -0.67 eV/atom


(8)
The following is a DFT calculation (GGA-PBE) of a geometry-optimized Y4Ho3Er8 structure.

a b c (Å): 6.8748 6.8748 35.0392
angles (deg): 90.00 90.00 120.00
Space group R-3m (No. 166, hexagonal axes)
Asymmetric unit:
Y 0.0000 0.0000 0.0000 [3 per cell]
Y 0.0000 0.0000 0.1638 [6 per cell]
Y 0.0000 0.0000 0.5000 [3 per cell]
Ho 0.0000 0.5000 0.0000 [9 per cell]
Er 0.0000 0.0000 0.2555 [6 per cell]
Er 0.0021 0.5010 0.2506 [18 per cell]

Properties
* calculated total energy: -4.938 eV per atom


(9)
The following is a DFT calculation (GGA-PBE) of a geometry-optimized Ca3Mg2In2 structure.

a b c (Å): 3.7489 5.0963 21.3382
angles (deg): 90.00 90.00 90.00
Space group Immm (No. 71)
Asymmetric unit:
Ca 0.0000 0.0000 0.0000 [2 per cell]
Ca 0.0000 0.5000 0.1992 [4 per cell]
Mg 0.0000 0.0000 0.4313 [4 per cell]
In 0.0000 0.5000 0.3581 [4 per cell]

Properties
* calculated total energy: -2.379 eV per atom


(10)
The following is a DFT calculation (GGA-PBE) of a geometry-optimized LaPr6Hg3 structure.

a b c (Å): 13.0517 14.1433 7.0264
angles (deg): 90.00 90.00 90.00
Space group Cmc2_1 (No. 36)
Asymmetric unit:
La 0.0000 0.1989 0.0000 [4 per cell]
Pr 0.0000 0.2019 0.4767 [4 per cell]
Pr 0.0000 0.4253 0.7881 [4 per cell]
Pr 0.2153 0.0280 0.4876 [8 per cell]
Pr 0.2261 0.2858 0.6514 [8 per cell]
Hg 0.0000 0.0051 0.7383 [4 per cell]
Hg 0.1172 0.3800 0.2709 [8 per cell]

Properties
* calculated total energy: -3.663 eV per atom


(11)
The following is a DFT calculation (GGA-PBE) of a geometry-optimized Ce4OsBr5 structure.

a b c (Å): 18.5754 4.1255 8.7885
angles (deg): 90.00 104.35 90.00
Space group C2/m (No. 12)
Asymmetric unit:
Ce 0.0002 0.0000 0.2199 [4 per cell]
Ce 0.1512 0.5000 0.0814 [4 per cell]
Os 0.0000 0.5000 0.0000 [2 per cell]
Br 0.0000 0.5000 0.5000 [2 per cell]
Br 0.1684 0.0000 0.3394 [4 per cell]
Br 0.1714 0.0000 0.8339 [4 per cell]

Properties
* E_form (uncorrected): -1.31 eV/atom


(12)
The following is a DFT calculation (GGA-PBE) of a geometry-optimized BeAlPb2 structure.

a b c (Å): 3.4232 4.0530 6.9186
angles (deg): 90.00 104.16 90.00
Space group P2/m (No. 10)
Asymmetric unit:
Be 0.0000 0.0000 0.0000 [1 per cell]
Al 0.5000 0.0000 0.5000 [1 per cell]
Pb 0.1844 0.5000 0.7689 [2 per cell]

Properties
* calculated total energy: -3.183 eV per atom


(13)
The following is a DFT calculation (GGA-PBE) of a geometry-optimized MnGaGeSe2 structure.

a b c (Å): 4.2872 4.2872 19.1380
angles (deg): 90.00 90.00 120.00
Space group R3m (No. 160, hexagonal axes)
Asymmetric unit:
Mn 0.0000 0.0000 0.0000 [3 per cell]
Ga 0.0000 0.0000 0.1392 [3 per cell]
Ge 0.0000 0.0000 0.6280 [3 per cell]
Se 0.0000 0.0000 0.3769 [3 per cell]
Se 0.0000 0.0000 0.8666 [3 per cell]

Properties
* E_form (uncorrected): -0.10 eV/atom


(14)
The following is a DFT calculation (GGA-PBE) of a geometry-optimized MnBr3Cl structure.

a b c (Å): 6.1042 8.6011 13.8472
angles (deg): 90.00 90.27 90.00
Space group P2/c (No. 13)
Asymmetric unit:
Mn 0.0813 0.2007 0.3570 [4 per cell]
Br 0.1145 0.2643 0.0022 [4 per cell]
Br 0.2212 0.4864 0.2648 [4 per cell]
Br 0.3876 0.2073 0.4618 [4 per cell]
Cl 0.2369 0.0947 0.2178 [4 per cell]

Properties
* E_form (uncorrected): -0.43 eV/atom


(15)
The following is a DFT calculation (GGA-PBE) of a geometry-optimized GeRu3Au structure.

a b c (Å): 4.8950 4.8950 4.8950
angles (deg): 90.00 90.00 90.00
Space group Pm-3m (No. 221)
Asymmetric unit:
Ge 0.0000 0.0000 0.0000 [1 per cell]
Ru 0.0000 0.5000 0.5000 [3 per cell]
Au 0.5000 0.5000 0.5000 [1 per cell]

Properties
* calculated total energy: -4.998 eV per atom


(16)
The following is a DFT calculation (GGA-PBE) of a geometry-optimized TcHg2Te structure.

a b c (Å): 9.2424 3.1970 7.1648
angles (deg): 90.00 111.00 90.00
Space group Cm (No. 8)
Asymmetric unit:
Tc 0.0000 0.0000 0.0000 [2 per cell]
Hg 0.1384 0.5000 0.3627 [2 per cell]
Hg 0.4393 0.0000 0.6277 [2 per cell]
Te 0.2798 0.0000 0.9897 [2 per cell]

Properties
* E_form (uncorrected): 0.34 eV/atom


(17)
The following is a DFT calculation (GGA-PBE) of a geometry-optimized CaMg2 structure.

a b c (Å): 7.6756 7.6756 5.4472
angles (deg): 90.00 90.00 120.00
Space group P-62m (No. 189)
Asymmetric unit:
Ca 0.0000 0.0000 0.0000 [1 per cell]
Ca 0.3333 0.6667 0.5000 [2 per cell]
Mg 0.0000 0.2234 0.5000 [3 per cell]
Mg 0.0000 0.4918 0.0000 [3 per cell]

Properties
* calculated total energy: -1.576 eV per atom


(18)
The following is a DFT calculation (GGA-PBE) of a geometry-optimized La5MgCo2 structure.

a b c (Å): 4.1292 7.3644 15.4000
angles (deg): 90.00 90.00 90.00
Space group Immm (No. 71)
Asymmetric unit:
La 0.0000 0.0000 0.0000 [2 per cell]
La 0.0000 0.2449 0.3450 [8 per cell]
Mg 0.0000 0.5000 0.0000 [2 per cell]
Co 0.0000 0.0000 0.1840 [4 per cell]

Properties
* calculated total energy: -5.119 eV per atom


(19)
The following is a DFT calculation (GGA-PBE) of a geometry-optimized ScNiBPt2 structure.

a b c (Å): 4.2605 4.2605 3.9380
angles (deg): 90.00 90.00 90.00
Space group P4/mmm (No. 123)
Asymmetric unit:
Sc 0.0000 0.0000 0.0000 [1 per cell]
Ni 0.5000 0.5000 0.0000 [1 per cell]
B 0.5000 0.5000 0.5000 [1 per cell]
Pt 0.0000 0.5000 0.5000 [2 per cell]

Properties
* calculated total energy: -6.795 eV per atom


(20)
The following is a DFT calculation (GGA-PBE) of a geometry-optimized IrBr2O structure.

a b c (Å): 6.2751 6.2751 6.2751
angles (deg): 90.00 90.00 90.00
Space group Fm-3m (No. 225)
Asymmetric unit:
Ir 0.0000 0.0000 0.0000 [4 per cell]
Br 0.2500 0.2500 0.2500 [8 per cell]
O 0.0000 0.0000 0.5000 [4 per cell]

Properties
* E_form (uncorrected): 1.06 eV/atom


(21)
The following is a DFT calculation (GGA-PBE) of a geometry-optimized TcBiB3 structure.

a b c (Å): 4.2109 4.2109 4.2109
angles (deg): 90.00 90.00 90.00
Space group Pm-3m (No. 221)
Asymmetric unit:
Tc 0.0000 0.0000 0.0000 [1 per cell]
Bi 0.5000 0.5000 0.5000 [1 per cell]
B 0.0000 0.0000 0.5000 [3 per cell]

Properties
* calculated total energy: -5.699 eV per atom


(22)
The following is a DFT calculation (GGA-PBE) of a geometry-optimized Tb3Pr3In2 structure.

a b c (Å): 5.2227 12.0632 16.4043
angles (deg): 90.00 90.00 90.00
Space group Cmcm (No. 63)
Asymmetric unit:
Tb 0.0000 0.0494 0.2500 [4 per cell]
Tb 0.0000 0.1387 0.5367 [8 per cell]
Pr 0.0000 0.2297 0.7500 [4 per cell]
Pr 0.0000 0.4590 0.6050 [8 per cell]
In 0.0000 0.2641 0.1323 [8 per cell]

Properties
* calculated total energy: -4.374 eV per atom